1.
A plane-wave DFT calculation with PBE was carried out for InAgRh2 after structural relaxation.

Properties
Energy relative to the elements (kcal/mol of atoms): 8.2
V (Å³/cell): 145.6

Cell lengths 3.8963, 3.8963, 9.9780 Å; angles 78.74, 78.74, 90.00 degrees
Last column: magnetic moment on the atom in μB.
Fractional positions:
Ag  0.2500  0.7500  0.5000  0.01
Ag  0.5000  0.5000  0.0000  0.01
Rh  0.3750  0.3881  0.7500  0.47
Rh  0.6119  0.1250  0.2500  0.47
Rh  0.8750  0.8619  0.7500  0.47
Rh  0.1381  0.6250  0.2500  0.47
In  0.7500  0.2500  0.5000  0.00
In  0.0000  0.0000  0.0000  0.00

2.
A plane-wave DFT calculation with PBE was carried out for SrSi2Rh after structural relaxation.

Properties
Uncorrected formation energy (eV per atom): -0.399
V (Å³/cell): 82.5

Cell lengths 3.8016, 3.6177, 6.0016 Å; angles 89.90, 90.00, 90.00 degrees
Fractional positions:
Si  0.0000  0.1247  0.9342
Si  0.5000  0.1252  0.1833
Rh  0.5000  0.6257  0.9206
Sr  0.0000  0.6244  0.4618